## Sr2BWO6 (GGA+U)

Data for a relaxed structure of Sr2BWO6.

POSCAR file:
```
Sr2BWO6
1.0
-2.415 -3.759 3.030
0.265 -2.445 -4.808
2.960 -4.815 0.203
Sr O W B
2 6 1 1
Cartesian
-0.266 -5.838 1.173 Sr
1.075 -5.181 -2.747 Sr
1.474 -9.098 -1.022 O
-0.345 -2.746 -3.027 O
1.152 -4.048 -0.286 O
-0.343 -6.971 -1.289 O
-0.665 -1.921 -0.552 O
1.154 -8.273 1.453 O
0.000 0.000 0.000 W
-1.075 -3.102 -0.889 B
```

Computed properties:
As for the electronic total energy: -7.009 eV per atom. As for the crystal system: orthorhombic.